DFT (PBE) results for a geometry-optimized BeGaSb3 structure.

Output
D(E_F), states/eV per atom: 0.9262
Magnetization, μB per cell: 0.00
ΔE to the lowest computed polymorph, meV/atom: 644

a = 5.2860 Å, b = 5.2860 Å, c = 5.2860 Å
α = 90.00°, β = 90.00°, γ = 90.00°
With the nearest neighbours (Å) after each atom.
Element x y z (fractional)
Sb: 0.0000 0.5000 0.0000  2 Ga 2.64
Sb: 0.0000 0.0000 0.5000  2 Ga 2.64
Sb: 0.5000 0.0000 0.0000  2 Ga 2.64
Ga: 0.0000 0.0000 0.0000  6 Sb 2.64
Be: 0.5000 0.5000 0.5000  12 Sb 3.74